LiPuCdGe: relaxed, GGA-PBE.

## Properties
Volume: 86.5 Å³ per cell
Symmetry: F-43m (216)
ΔH_f (0 K): -201 meV per atom
DFT total energy: -0.415 Ry per atom

a b c (Å): 4.964 4.964 4.964
angles (deg): 60.00 60.00 60.00
Positions (direct):
Li 0.000 0.000 0.000
Pu 0.500 0.500 0.500
Cd 0.250 0.250 0.250
Ge 0.750 0.750 0.750

=====

RbLiCd2Ge: relaxed, GGA-PBE.

## Properties
Volume: 159.8 Å³ per cell
Symmetry: P4/mmm (123)
ΔH_f (0 K): 18 meV per atom
DFT total energy: -0.136 Ry per atom

a b c (Å): 5.559 5.559 5.171
angles (deg): 90.00 90.00 90.00
Positions (direct):
Rb 0.000 0.000 0.000
Li 0.500 0.500 0.000
Cd 0.000 0.500 0.500
Cd 0.500 0.000 0.500
Ge 0.500 0.500 0.500

=====

LiCdGeRu: relaxed, GGA-PBE.

## Properties
Volume: 61.8 Å³ per cell
Symmetry: F-43m (216)
ΔH_f (0 K): -66 meV per atom
DFT total energy: -0.312 Ry per atom

a b c (Å): 4.439 4.439 4.439
angles (deg): 60.00 60.00 60.00
Positions (direct):
Li 0.000 0.000 0.000
Cd 0.250 0.250 0.250
Ge 0.750 0.750 0.750
Ru 0.500 0.500 0.500

=====

LiCd2GeS4: relaxed, GGA-PBE.

## Properties
ΔE_f (raw): -0.602 eV per atom
Volume: 385.1 Å³ per cell
Symmetry: Pmn2_1 (31)
DFT total energy: -0.273 Ry per atom

a b c (Å): 8.229 7.071 6.618
angles (deg): 90.00 90.00 90.00
Positions (direct):
Li 0.000 0.158 0.000
Li 0.500 0.842 0.500
Cd 0.248 0.328 0.501
Cd 0.252 0.672 0.001
Cd 0.748 0.672 0.001
Cd 0.752 0.328 0.501
Ge 0.000 0.824 0.497
Ge 0.500 0.176 0.997
S 0.000 0.143 0.371
S 0.000 0.839 0.860
S 0.246 0.324 0.890
S 0.254 0.676 0.390
S 0.500 0.161 0.360
S 0.500 0.857 0.871
S 0.746 0.676 0.390
S 0.754 0.324 0.890

=====

LiCdGe2S6: relaxed, GGA-PBE.

## Properties
ΔE_f (raw): -0.388 eV per atom
Volume: 436.5 Å³ per cell
Symmetry: C2/c (15)
DFT total energy: -0.299 Ry per atom

a b c (Å): 8.395 8.395 6.317
angles (deg): 97.97 97.97 87.48
Positions (direct):
Li 0.226 0.774 0.750
Li 0.774 0.226 0.250
Cd 0.385 0.615 0.250
Cd 0.615 0.385 0.750
Ge 0.120 0.288 0.776
Ge 0.288 0.120 0.276
Ge 0.712 0.880 0.724
Ge 0.880 0.712 0.224
S 0.058 0.209 0.082
S 0.103 0.617 0.402
S 0.209 0.058 0.582
S 0.306 0.475 0.842
S 0.383 0.897 0.098
S 0.475 0.306 0.342
S 0.525 0.694 0.658
S 0.617 0.103 0.902
S 0.694 0.525 0.158
S 0.791 0.942 0.418
S 0.897 0.383 0.598
S 0.942 0.791 0.918

=====

LiScCdGe: relaxed, GGA-PBE.

## Properties
Volume: 75.6 Å³ per cell
Symmetry: F-43m (216)
ΔH_f (0 K): -384 meV per atom
DFT total energy: -0.281 Ry per atom

a b c (Å): 4.746 4.746 4.746
angles (deg): 60.00 60.00 60.00
Positions (direct):
Li 0.000 0.000 0.000
Sc 0.500 0.500 0.500
Cd 0.750 0.750 0.750
Ge 0.250 0.250 0.250

=====

LiSmCdGe: relaxed, GGA-PBE.

## Properties
Volume: 88.6 Å³ per cell
Symmetry: F-43m (216)
ΔH_f (0 K): -417 meV per atom
DFT total energy: -0.254 Ry per atom

a b c (Å): 5.004 5.004 5.004
angles (deg): 60.00 60.00 60.00
Positions (direct):
Li 0.000 0.000 0.000
Sm 0.500 0.500 0.500
Cd 0.750 0.750 0.750
Ge 0.250 0.250 0.250

=====

SrLiCdGe: relaxed, GGA-PBE.

## Properties
Volume: 98.4 Å³ per cell
Symmetry: F-43m (216)
ΔH_f (0 K): -261 meV per atom
DFT total energy: -0.187 Ry per atom

a b c (Å): 5.181 5.181 5.181
angles (deg): 60.00 60.00 60.00
Positions (direct):
Sr 0.000 0.000 0.000
Li 0.500 0.500 0.500
Cd 0.250 0.250 0.250
Ge 0.750 0.750 0.750